The following is a DFT calculation (PBE) of a relaxed structure of K2LaSiSe4.

Output
SG   No. 74
Formation energy (no corrections)   -1.066 eV/atom
V   28.9 Å³/atom

Lattice parameters (Å, degrees): 8.6840 8.6840 8.9548 121.04 121.04 90.09
Sites, in units of the cell vectors:
K  0.5000  0.0000  0.0000
K  0.5000  0.0000  0.5000
K  0.0000  0.0000  0.5000
K  0.5000  0.5000  0.0000
La  0.0000  0.5000  0.0000
La  0.0000  0.5000  0.5000
Si  0.5000  0.5000  0.5000
Si  0.0000  0.0000  0.0000
Se  0.2061  0.7638  0.9849
Se  0.7362  0.2939  0.5151
Se  0.2638  0.7061  0.4849
Se  0.7939  0.2362  0.0151
Se  0.7554  0.7443  0.9448
Se  0.7557  0.7446  0.5552
Se  0.2443  0.2554  0.4448
Se  0.2446  0.2557  0.0552



The following is a DFT calculation (PBE) of a relaxed structure of KLa2Sm3Se6.

Output
SG   No. 12
Formation energy (no corrections)   -1.842 eV/atom
V   27.7 Å³/atom

Lattice parameters (Å, degrees): 4.2312 8.6592 9.5935 103.69 102.74 90.00
Sites, in units of the cell vectors:
K  0.5000  0.0000  0.0000
La  0.8316  0.6613  0.6633
La  0.1684  0.3387  0.3367
Sm  0.5000  0.5000  0.0000
Sm  0.8358  0.1765  0.6717
Sm  0.1642  0.8235  0.3283
Se  0.3276  0.9229  0.6552
Se  0.6632  0.5875  0.3264
Se  0.6724  0.0771  0.3448
Se  0.9994  0.2650  0.9987
Se  0.0006  0.7350  0.0013
Se  0.3368  0.4125  0.6736



The following is a DFT calculation (PBE) of a relaxed structure of KLa2SmSe4.

Output
SG   No. 10
Formation energy (no corrections)   -1.821 eV/atom
V   28.8 Å³/atom

Lattice parameters (Å, degrees): 4.3061 7.4692 7.5874 70.95 90.00 90.00
Sites, in units of the cell vectors:
K  0.5000  0.5000  0.0000
La  0.0000  0.0000  0.0000
La  0.5000  0.0000  0.5000
Sm  0.0000  0.5000  0.5000
Se  0.0000  0.7578  0.7355
Se  0.0000  0.2422  0.2645
Se  0.5000  0.7469  0.2595
Se  0.5000  0.2531  0.7405



The following is a DFT calculation (PBE) of a relaxed structure of KLaSm2Se4.

Output
SG   No. 10
Formation energy (no corrections)   -1.803 eV/atom
V   28.1 Å³/atom

Lattice parameters (Å, degrees): 4.2338 7.5395 7.4209 71.38 90.00 90.00
Sites, in units of the cell vectors:
K  0.0000  0.5000  0.5000
La  0.5000  0.5000  0.0000
Sm  0.0000  0.0000  0.0000
Sm  0.5000  0.0000  0.5000
Se  0.0000  0.7625  0.7499
Se  0.0000  0.2375  0.2501
Se  0.5000  0.7698  0.2364
Se  0.5000  0.2302  0.7636



Question: What is the formation energy (no corrections) in the first record?
Answer: -1.066 eV/atom



Question: Among the records above, which one has the highest V?
Answer: K2LaSiSe4



Question: What is the formation energy (no corrections) in the second record?
Answer: -1.842 eV/atom